(1)
# PrTmCdHg

Crystalline PrTmCdHg at its relaxed geometry (PBE, Alexandria via LeMat-Bulk).

```
4
Lattice="0.000 3.784 3.784 3.784 0.000 3.784 3.784 3.784 0.000" Properties=species:S:1:pos:R:3 pbc="T T T"
Pr 0.000 0.000 0.000
Tm 3.784 3.784 3.784
Cd 1.892 1.892 1.892
Hg 5.677 5.677 5.677
```

Output
space group	F-43m, No. 216
energy of formation	-1.5	eV per formula unit
N(E_F)	1.01	states/eV/atom



(2)
# YBe3

Crystalline YBe3 at its relaxed geometry (PBE, Alexandria via LeMat-Bulk).

```
4
Lattice="2.777 0.000 0.000 0.000 3.021 0.000 0.000 0.000 6.474" Properties=species:S:1:pos:R:3 pbc="T T T"
Y 0.000 0.000 0.000
Be 0.000 0.000 3.237
Be 1.388 1.510 2.091
Be 1.388 1.510 4.383
```

Output
space group	Pmmm, No. 47
energy of formation	1.2	eV per formula unit
offset from the most stable computed form	1.47	eV per formula unit
N(E_F)	0.49	states/eV/atom



(3)
# TiInP2S

Crystalline TiInP2S at its relaxed geometry (PBE, Alexandria via LeMat-Bulk).

```
5
Lattice="4.919 0.000 0.000 0.000 4.919 0.000 0.000 0.000 4.984" Properties=species:S:1:pos:R:3 pbc="T T T"
Ti 0.000 0.000 0.000
In 2.460 2.460 2.492
P 0.000 2.460 2.492
P 2.460 0.000 2.492
S 2.460 2.460 0.000
```

Output
space group	P4/mmm, No. 123
E_form (uncorrected)	1.02	eV/atom
offset from the most stable computed form	5.48	eV per formula unit
N(E_F)	1.38	states/eV/atom



(4)
# HgOs4Pb

Crystalline HgOs4Pb at its relaxed geometry (PBE, Alexandria via LeMat-Bulk).

```
6
Lattice="0.000 3.785 3.785 3.785 0.000 3.785 3.785 3.785 0.000" Properties=species:S:1:pos:R:3 pbc="T T T"
Hg 0.000 0.000 0.000
Os 4.733 2.838 2.838
Os 2.838 4.733 2.838
Os 2.838 2.838 4.733
Os 4.733 4.733 4.733
Pb 1.893 1.893 1.893
```

Output
space group	F-43m, No. 216
energy of formation	6.3	eV per formula unit
N(E_F)	1.42	states/eV/atom



(5)
# NdMgCuAu

Crystalline NdMgCuAu at its relaxed geometry (PBE, Alexandria via LeMat-Bulk).

```
4
Lattice="0.000 3.487 3.487 3.487 0.000 3.487 3.487 3.487 0.000" Properties=species:S:1:pos:R:3 pbc="T T T"
Nd 0.000 0.000 0.000
Mg 3.487 3.487 3.487
Cu 5.230 5.230 5.230
Au 1.743 1.743 1.743
```

Output
space group	F-43m, No. 216
energy of formation	-1.8	eV per formula unit
N(E_F)	0.71	states/eV/atom



(6)
# RbLiTc2Sn

Crystalline RbLiTc2Sn at its relaxed geometry (PBE, Alexandria via LeMat-Bulk).

```
5
Lattice="4.917 0.000 0.000 0.000 4.917 0.000 0.000 0.000 4.133" Properties=species:S:1:pos:R:3 pbc="T T T"
Rb 0.000 0.000 0.000
Li 0.000 0.000 2.067
Tc 0.000 2.458 0.000
Tc 2.458 0.000 0.000
Sn 2.458 2.458 2.067
```

Output
space group	P4/mmm, No. 123
energy of formation	10.7	eV per formula unit
N(E_F)	1.12	states/eV/atom